1.
Computed, not measured: a relaxed LiBiF2 crystal at the PBE-GGA level of DFT.

Lattice parameters (Å, degrees): 7.088 7.088 7.088 105.04 105.04 118.75
Element x y z (fractional)
Li  0.625  0.875  0.750
Li  0.125  0.875  0.250
Li  0.125  0.875  0.750
Li  0.125  0.375  0.250
Bi  0.125  0.375  0.750
Bi  0.625  0.375  0.250
Bi  0.625  0.375  0.750
Bi  0.625  0.875  0.250
F  0.249  0.011  0.564
F  0.448  0.685  0.436
F  0.261  0.198  0.263
F  0.001  0.739  0.936
F  0.935  0.999  0.737
F  0.802  0.065  0.064
F  0.989  0.552  0.237
F  0.315  0.751  0.763

total DFT energy (no corrections) = -69.765 eV/cell
E_form (uncorrected) = -1.9759 eV/atom
symmetry = I4_1/a (88)
relative energy among the computed polymorphs = 0.159 eV per atom
spin magnetization = 0.0000 μB per atom

2.
Computed, not measured: a relaxed CePa2Co crystal at the PBE-GGA level of DFT.

Lattice parameters (Å, degrees): 3.417 3.417 7.616 90.00 90.00 90.00
Element x y z (fractional)
Pa  0.000  0.000  0.808
Pa  0.000  0.000  0.192
Co  0.500  0.500  0.000
Ce  0.500  0.500  0.500

total DFT energy (no corrections) = -32.251 eV/cell
energy of formation from the pure elements = -0.2 eV per formula unit
symmetry = P4/mmm (123)
relative energy among the computed polymorphs = 0.091 eV per atom
spin magnetization = 0.0000 μB per atom

3.
Computed, not measured: a relaxed CePm2NdCo2 crystal at the PBE-GGA level of DFT.

Lattice parameters (Å, degrees): 6.787 7.039 8.040 115.96 114.97 90.00
Element x y z (fractional)
Ce  0.750  0.500  0.000
Ce  0.250  0.500  0.000
Pm  0.702  0.897  0.405
Pm  0.202  0.508  0.405
Pm  0.798  0.492  0.595
Pm  0.298  0.103  0.595
Nd  0.250  0.000  0.000
Nd  0.750  0.000  0.000
Co  0.408  0.616  0.817
Co  0.592  0.384  0.183
Co  0.092  0.799  0.183
Co  0.908  0.201  0.817

total DFT energy (no corrections) = -69.693 eV/cell
energy of formation from the pure elements = -0.4 eV per formula unit
symmetry = Ibam (72)
spin magnetization = 0.0000 μB per atom

4.
Computed, not measured: a relaxed Ba2TlZn4Au3 crystal at the PBE-GGA level of DFT.

Lattice parameters (Å, degrees): 4.678 4.678 11.143 90.00 90.00 90.00
Element x y z (fractional)
Ba  0.500  0.000  0.243
Ba  0.000  0.500  0.757
Tl  0.500  0.500  0.500
Zn  0.500  0.500  0.000
Zn  0.000  0.000  0.000
Zn  0.500  0.000  0.639
Zn  0.000  0.500  0.361
Au  0.000  0.000  0.500
Au  0.500  0.000  0.879
Au  0.000  0.500  0.121

total DFT energy (no corrections) = -25.262 eV/cell
energy of formation from the pure elements = -4.1 eV per formula unit
symmetry = P-4m2 (115)
spin magnetization = 0.0000 μB per atom

5.
Computed, not measured: a relaxed AlZnCd2 crystal at the PBE-GGA level of DFT.

Lattice parameters (Å, degrees): 3.005 3.005 10.629 72.19 72.19 60.39
Element x y z (fractional)
Al  0.625  0.625  0.500
Zn  0.625  0.625  0.000
Cd  0.117  0.117  0.753
Cd  0.133  0.133  0.247

total DFT energy (no corrections) = -6.444 eV/cell
energy of formation from the pure elements = 0.4 eV per formula unit
symmetry = C2/m (12)
relative energy among the computed polymorphs = 0.043 eV per atom
spin magnetization = 0.0000 μB per atom

6.
Computed, not measured: a relaxed Ac4In5Ni2 crystal at the PBE-GGA level of DFT.

Lattice parameters (Å, degrees): 3.983 8.054 10.171 95.96 90.00 90.00
Element x y z (fractional)
Ac  0.500  0.773  0.557
Ac  0.500  0.167  0.849
Ac  0.500  0.227  0.443
Ac  0.500  0.833  0.151
In  0.000  0.551  0.312
In  0.000  0.193  0.152
In  0.000  0.500  0.000
In  0.000  0.807  0.848
In  0.000  0.449  0.688
Ni  0.000  0.073  0.624
Ni  0.000  0.927  0.376

total DFT energy (no corrections) = -45.572 eV/cell
energy of formation from the pure elements = -3.9 eV per formula unit
symmetry = P2/m (10)
spin magnetization = 0.0000 μB per atom